No. 1
! Li2TbGaI6 PBE relaxed; values from VASP
&SYSTEM
  ibrav = 0, nat = 10, ntyp = 4
/
ATOMIC_SPECIES
I 126.90 I.upf
Tb 158.93 Tb.upf
Li 6.94 Li.upf
Ga 69.72 Ga.upf
CELL_PARAMETERS angstrom
7.724 0.001 0.001
3.863 6.689 0.000
3.862 2.230 7.119
ATOMIC_POSITIONS angstrom
I 10.288 4.517 1.720
I 9.121 2.534 5.360
I 5.359 4.213 5.360
I 6.492 2.211 1.720
I 8.694 6.631 5.360
I 6.393 6.650 1.720
Tb 3.862 2.229 0.170
Li 3.863 2.231 7.029
Li 7.726 4.460 3.376
Ga 11.586 6.689 3.887
! Energy: -3.16 eV/atom
! Formation energy from raw total energies: -1.080 eV/atom
! Space group: No. 146



No. 2
! Ba3H PBE relaxed; values from VASP
&SYSTEM
  ibrav = 0, nat = 8, ntyp = 2
/
ATOMIC_SPECIES
Ba 137.33 Ba.upf
H 1.01 H.upf
CELL_PARAMETERS angstrom
7.291 0.000 -4.205
-2.425 6.876 -4.205
-0.002 -0.004 8.420
ATOMIC_POSITIONS angstrom
Ba 0.000 0.000 0.000
Ba 2.432 0.857 4.211
Ba 4.861 1.717 0.005
Ba 1.219 4.294 -2.098
Ba 4.863 4.300 -4.204
Ba 1.214 4.295 2.112
H 2.433 3.438 -4.205
H 0.003 5.155 0.005
! Energy: -2.42 eV/atom
! E above lowest polymorph: 0 meV/atom
! Space group: No. 227



No. 3
! Pm2MgCd8 PBE relaxed; values from VASP
&SYSTEM
  ibrav = 0, nat = 11, ntyp = 3
/
ATOMIC_SPECIES
Mg 24.30 Mg.upf
Cd 112.41 Cd.upf
Pm 145.00 Pm.upf
CELL_PARAMETERS angstrom
4.557 0.000 -1.384
-0.700 6.321 -2.306
0.202 0.888 8.860
ATOMIC_POSITIONS angstrom
Mg 2.278 0.000 -0.692
Cd 2.457 2.869 -0.103
Cd 0.607 1.264 2.000
Cd 2.399 5.811 -0.293
Cd -0.386 4.617 -1.270
Cd 4.444 2.592 6.441
Cd 1.601 4.340 5.273
Cd 3.451 5.945 3.170
Cd 1.659 1.398 5.463
Pm 3.441 2.543 3.136
Pm 0.617 4.667 2.034
! Energy: -1.87 eV/atom
! ΔE_f: -0.1930 eV/atom
! Space group: No. 12